[1]
# Er3H12Ru5

Er3H12Ru5 after structural relaxation (GGA-PBE, Alexandria via LeMat-Bulk).

Cell and atoms, written as extended XYZ:
```
80
Lattice="-5.685 5.685 5.685 5.685 -5.685 5.685 5.685 5.685 -5.685" Properties=species:S:1:pos:R:3 pbc="T T T"
Er 2.843 1.421 0.000
Er 5.685 2.843 -1.421
Er 1.421 0.000 2.843
Er 7.107 0.000 2.843
Er 0.000 2.843 1.421
Er 2.843 -1.421 5.685
Er 2.843 7.107 0.000
Er 5.685 2.843 4.264
Er -1.421 5.685 2.843
Er 4.264 5.685 2.843
Er 0.000 2.843 7.107
Er 2.843 4.264 5.685
H 1.609 -0.358 0.662
H 6.919 3.505 -3.201
H 5.327 -0.662 1.609
H 8.886 -1.233 2.180
H 7.295 0.358 0.662
H 6.919 -2.180 3.201
H 0.662 1.609 -0.358
H 7.866 2.484 -1.233
H 3.505 3.201 -1.233
H 5.023 1.609 0.358
H -0.358 0.662 1.609
H 3.201 -1.233 3.505
H 5.327 5.023 -1.609
H 3.201 1.233 2.180
H 5.023 -1.609 5.327
H 3.505 -3.201 6.919
H 2.180 3.201 1.233
H 6.348 4.076 0.358
H 1.609 5.327 -0.662
H 6.919 2.180 2.484
H 3.201 6.919 -2.180
H 5.327 0.662 4.076
H 1.233 2.180 3.201
H 1.609 0.358 5.023
H 4.076 5.327 0.662
H 4.452 3.505 2.484
H 0.358 5.023 1.609
H 2.484 -1.233 7.866
H -1.233 3.505 3.201
H 4.076 0.358 6.348
H -0.662 1.609 5.327
H 3.505 2.484 4.452
H 2.180 8.886 -1.233
H 0.662 7.295 0.358
H 2.484 4.452 3.505
H 0.358 0.662 7.295
H 2.484 6.919 2.180
H 6.044 5.023 4.076
H 0.662 4.076 5.327
H 2.180 2.484 6.919
H -2.180 3.201 6.919
H 5.023 4.076 6.044
H -1.233 7.866 2.484
H -1.609 5.327 5.023
H -3.201 6.919 3.505
H 0.358 6.348 4.076
H -1.233 2.180 8.886
H 4.076 6.044 5.023
Ru 0.000 0.000 0.000
Ru 2.843 2.843 -2.843
Ru 2.843 -2.843 2.843
Ru 5.685 0.000 0.000
Ru 8.528 1.421 0.000
Ru 5.685 -2.843 4.264
Ru 4.264 5.685 -2.843
Ru 4.264 0.000 2.843
Ru 2.843 4.264 0.000
Ru 5.685 2.843 1.421
Ru -2.843 2.843 2.843
Ru 0.000 5.685 0.000
Ru 0.000 0.000 5.685
Ru 2.843 2.843 2.843
Ru 0.000 2.843 4.264
Ru 2.843 1.421 5.685
Ru 1.421 5.685 2.843
Ru 1.421 0.000 8.528
Ru 0.000 8.528 1.421
Ru -2.843 4.264 5.685
```

[2]
# BeGa2C2

BeGa2C2 after structural relaxation (GGA-PBE, Alexandria via LeMat-Bulk).

Cell and atoms, written as extended XYZ:
```
5
Lattice="-1.816 1.816 4.709 1.816 -1.816 4.709 1.816 1.816 -4.709" Properties=species:S:1:pos:R:3 pbc="T T T"
Be 0.000 0.000 0.000
Ga 0.000 0.000 3.457
Ga 0.000 0.000 5.961
C 1.816 0.000 2.354
C 0.000 1.816 2.354
```

Properties
- energy above the most stable polymorph in this dataset (meV/atom) = 0
- ΔE_f (eV/atom) = 1.60

[3]
# TbTm2PuSb4

TbTm2PuSb4 after structural relaxation (GGA-PBE, Alexandria via LeMat-Bulk).

Cell and atoms, written as extended XYZ:
```
8
Lattice="7.571 0.000 0.000 0.000 4.382 0.000 -2.525 0.000 7.147" Properties=species:S:1:pos:R:3 pbc="T T T"
Tb 0.000 0.000 0.000
Tm 2.523 0.000 3.574
Tm 3.786 2.191 0.000
Pu -1.263 2.191 3.574
Sb 0.032 0.000 5.374
Sb 1.294 2.191 1.797
Sb 5.014 0.000 1.774
Sb 3.752 2.191 5.350
```

Properties
- formation energy without anion corrections (eV/atom) = -0.962

[4]
# Ag2GeBi

Ag2GeBi after structural relaxation (GGA-PBE, Alexandria via LeMat-Bulk).

Cell and atoms, written as extended XYZ:
```
4
Lattice="0.000 3.527 3.527 3.527 0.000 3.527 3.527 3.527 0.000" Properties=species:S:1:pos:R:3 pbc="T T T"
Ag 1.764 1.764 1.764
Ag 5.291 5.291 5.291
Ge 0.000 0.000 0.000
Bi 3.527 3.527 3.527
```

Properties
- energy above the most stable polymorph in this dataset (meV/atom) = 45
- ΔE_f (eV/atom) = 0.20

Number 1: raw total energy -421.6 eV per cell. Number 2: raw total energy -20.2 eV per cell. Number 3: raw total energy -52.1 eV per cell. Number 4: raw total energy -13.4 eV per cell.